[1]
A relaxed CdAg2As crystal, computed with GGA-PBE.

Computed properties:
For the distance to the lowest polymorph of the same formula, the calculation gives 0.0336 eV per atom. The calculation puts the calculated formation energy at 1.8 kcal/mol of atoms. The total DFT energy (no corrections) comes out at -0.101 Ha/atom.

Lattice parameters (Å, degrees): 4.966 4.966 5.453 100.67 100.67 35.92
Fractional positions:
1 Cd 0.000 0.000 0.000
2 Ag 0.248 0.248 0.749
3 Ag 0.752 0.752 0.251
4 As 0.500 0.500 0.500


[2]
A relaxed CdAg2As crystal, computed with GGA-PBE.

Computed properties:
For the distance to the lowest polymorph of the same formula, the calculation gives 0.0261 eV per atom. The calculation puts the calculated formation energy at 1.7 kcal/mol of atoms. The total DFT energy (no corrections) comes out at -0.101 Ha/atom.

Lattice parameters (Å, degrees): 3.169 4.050 6.003 90.00 90.12 90.00
Fractional positions:
1 Cd 0.000 0.000 0.000
2 Ag 0.499 0.500 0.249
3 Ag 0.999 0.000 0.495
4 As 0.505 0.500 0.722


[3]
A relaxed CdAg2As crystal, computed with GGA-PBE.

Computed properties:
For the distance to the lowest polymorph of the same formula, the calculation gives 0.0614 eV per atom. The calculation puts the calculated formation energy at 2.5 kcal/mol of atoms. The total DFT energy (no corrections) comes out at -0.100 Ha/atom.

Lattice parameters (Å, degrees): 2.985 2.985 8.703 90.00 90.00 92.70
Fractional positions:
1 Cd 0.000 0.000 0.000
2 Ag 0.000 0.000 0.517
3 Ag 0.500 0.500 0.755
4 As 0.500 0.500 0.277


[4]
A relaxed CdAg2As2 crystal, computed with GGA-PBE.

Computed properties:
For the distance to the lowest polymorph of the same formula, the calculation gives 0.0000 eV per atom. The calculation puts the calculated formation energy at 4.2 kcal/mol of atoms. The total DFT energy (no corrections) comes out at -0.110 Ha/atom.

Lattice parameters (Å, degrees): 8.490 8.490 2.847 90.00 90.00 90.00
Fractional positions:
1 Cd 0.000 0.000 0.000
2 Cd 0.500 0.500 0.000
3 Ag 0.152 0.348 0.000
4 Ag 0.348 0.848 0.000
5 Ag 0.652 0.152 0.000
6 Ag 0.848 0.652 0.000
7 As 0.145 0.645 0.500
8 As 0.355 0.145 0.500
9 As 0.645 0.855 0.500
10 As 0.855 0.355 0.500


[5]
A relaxed Cd2Ag2As crystal, computed with GGA-PBE.

Computed properties:
For the distance to the lowest polymorph of the same formula, the calculation gives 0.1124 eV per atom. The calculation puts the calculated formation energy at 5.8 kcal/mol of atoms. The total DFT energy (no corrections) comes out at -0.080 Ha/atom.

Lattice parameters (Å, degrees): 7.551 7.551 7.551 149.96 149.96 43.00
Fractional positions:
1 Cd 0.250 0.750 0.500
2 Cd 0.750 0.250 0.500
3 Ag 0.096 0.096 0.000
4 Ag 0.904 0.904 0.000
5 As 0.500 0.500 0.000


[6]
A relaxed Cd2AgAs2 crystal, computed with GGA-PBE.

Computed properties:
For the distance to the lowest polymorph of the same formula, the calculation gives 0.0260 eV per atom. The calculation puts the calculated formation energy at 4.1 kcal/mol of atoms. The total DFT energy (no corrections) comes out at -0.096 Ha/atom.

Lattice parameters (Å, degrees): 8.288 8.288 8.288 153.77 153.77 37.44
Fractional positions:
1 Cd 0.094 0.094 0.000
2 Cd 0.906 0.906 0.000
3 Ag 0.500 0.500 0.000
4 As 0.250 0.750 0.500
5 As 0.750 0.250 0.500


[7]
A relaxed CdAg2As crystal, computed with GGA-PBE.

Computed properties:
For the distance to the lowest polymorph of the same formula, the calculation gives 0.0698 eV per atom. The calculation puts the calculated formation energy at 2.7 kcal/mol of atoms. The total DFT energy (no corrections) comes out at -0.099 Ha/atom.

Lattice parameters (Å, degrees): 9.297 9.297 9.297 19.38 19.38 19.38
Fractional positions:
1 Cd 0.000 0.000 0.000
2 Ag 0.500 0.500 0.500
3 Ag 0.751 0.751 0.751
4 As 0.246 0.246 0.246


[8]
A relaxed CdAg2As2 crystal, computed with GGA-PBE.

Computed properties:
For the distance to the lowest polymorph of the same formula, the calculation gives 0.0061 eV per atom. The calculation puts the calculated formation energy at 4.3 kcal/mol of atoms. The total DFT energy (no corrections) comes out at -0.110 Ha/atom.

Lattice parameters (Å, degrees): 7.620 7.620 7.620 150.85 150.85 41.70
Fractional positions:
1 Cd 0.000 0.000 0.000
2 Ag 0.404 0.404 0.000
3 Ag 0.596 0.596 0.000
4 As 0.250 0.750 0.500
5 As 0.750 0.250 0.500


[9]
A relaxed CdAg2As crystal, computed with GGA-PBE.

Computed properties:
For the distance to the lowest polymorph of the same formula, the calculation gives 0.0500 eV per atom. The calculation puts the calculated formation energy at 2.2 kcal/mol of atoms. The total DFT energy (no corrections) comes out at -0.100 Ha/atom.

Lattice parameters (Å, degrees): 5.188 5.188 3.043 90.24 90.24 110.20
Fractional positions:
1 Cd 0.000 0.000 0.000
2 Ag 0.000 0.500 0.500
3 Ag 0.500 0.000 0.500
4 As 0.500 0.500 0.000


[10]
A relaxed CdAg2As crystal, computed with GGA-PBE.

Computed properties:
For the distance to the lowest polymorph of the same formula, the calculation gives 0.0501 eV per atom. The calculation puts the calculated formation energy at 2.2 kcal/mol of atoms. The total DFT energy (no corrections) comes out at -0.100 Ha/atom.

Lattice parameters (Å, degrees): 2.974 2.974 8.666 90.00 90.00 90.00
Fractional positions:
1 Cd 0.000 0.000 0.000
2 Ag 0.500 0.500 0.250
3 Ag 0.500 0.500 0.750
4 As 0.000 0.000 0.500


[11]
A relaxed CdAg2As crystal, computed with GGA-PBE.

Computed properties:
For the distance to the lowest polymorph of the same formula, the calculation gives 0.0278 eV per atom. The calculation puts the calculated formation energy at 1.7 kcal/mol of atoms. The total DFT energy (no corrections) comes out at -0.101 Ha/atom.

Lattice parameters (Å, degrees): 3.107 4.108 5.993 90.00 90.49 90.00
Fractional positions:
1 Cd 0.000 0.000 0.000
2 Ag 0.498 0.500 0.748
3 Ag 0.502 0.500 0.252
4 As 0.000 0.000 0.500


[12]
A relaxed CdAg2As crystal, computed with GGA-PBE.

Computed properties:
For the distance to the lowest polymorph of the same formula, the calculation gives 0.0484 eV per atom. The calculation puts the calculated formation energy at 2.2 kcal/mol of atoms. The total DFT energy (no corrections) comes out at -0.100 Ha/atom.

Lattice parameters (Å, degrees): 9.367 9.367 9.367 19.04 19.04 19.04
Fractional positions:
1 Cd 0.000 0.000 0.000
2 Ag 0.247 0.247 0.247
3 Ag 0.753 0.753 0.753
4 As 0.500 0.500 0.500


[13]
A relaxed Cd3Ag12As5 crystal, computed with GGA-PBE.

Computed properties:
The calculation puts the calculated formation energy at 6.8 kcal/mol of atoms. The total DFT energy (no corrections) comes out at -0.100 Ha/atom.

Lattice parameters (Å, degrees): 13.495 13.495 13.495 109.47 109.47 109.47
Fractional positions:
1 Cd 0.125 0.250 0.375
2 Cd 0.125 0.375 0.750
3 Cd 0.250 0.375 0.125
4 Cd 0.250 0.875 0.625
5 Cd 0.375 0.125 0.250
6 Cd 0.375 0.750 0.125
7 Cd 0.625 0.250 0.875
8 Cd 0.625 0.875 0.750
9 Cd 0.750 0.125 0.375
10 Cd 0.750 0.625 0.875
11 Cd 0.875 0.625 0.250
12 Cd 0.875 0.750 0.625
13 Ag 0.055 0.221 0.136
14 Ag 0.055 0.334 0.919
15 Ag 0.081 0.636 0.415
16 Ag 0.081 0.945 0.666
17 Ag 0.085 0.721 0.666
18 Ag 0.085 0.864 0.419
19 Ag 0.136 0.055 0.221
20 Ag 0.136 0.581 0.915
21 Ag 0.166 0.221 0.585
22 Ag 0.166 0.445 0.581
23 Ag 0.221 0.136 0.055
24 Ag 0.221 0.585 0.166
25 Ag 0.279 0.334 0.915
26 Ag 0.279 0.445 0.364
27 Ag 0.334 0.915 0.279
28 Ag 0.334 0.919 0.055
29 Ag 0.364 0.279 0.445
30 Ag 0.364 0.585 0.919
31 Ag 0.415 0.081 0.636
32 Ag 0.415 0.834 0.779
33 Ag 0.419 0.085 0.864
34 Ag 0.419 0.834 0.555
35 Ag 0.445 0.364 0.279
36 Ag 0.445 0.581 0.166
37 Ag 0.555 0.419 0.834
38 Ag 0.555 0.636 0.721
39 Ag 0.581 0.166 0.445
40 Ag 0.581 0.915 0.136
41 Ag 0.585 0.166 0.221
42 Ag 0.585 0.919 0.364
43 Ag 0.636 0.415 0.081
44 Ag 0.636 0.721 0.555
45 Ag 0.666 0.081 0.945
46 Ag 0.666 0.085 0.721
47 Ag 0.721 0.555 0.636
48 Ag 0.721 0.666 0.085
49 Ag 0.779 0.415 0.834
50 Ag 0.779 0.864 0.945
51 Ag 0.834 0.555 0.419
52 Ag 0.834 0.779 0.415
53 Ag 0.864 0.419 0.085
54 Ag 0.864 0.945 0.779
55 Ag 0.915 0.136 0.581
56 Ag 0.915 0.279 0.334
57 Ag 0.919 0.055 0.334
58 Ag 0.919 0.364 0.585
59 Ag 0.945 0.666 0.081
60 Ag 0.945 0.779 0.864
61 As 0.000 0.000 0.000
62 As 0.000 0.000 0.500
63 As 0.000 0.500 0.000
64 As 0.000 0.500 0.500
65 As 0.125 0.750 0.875
66 As 0.125 0.875 0.250
67 As 0.250 0.125 0.875
68 As 0.250 0.625 0.375
69 As 0.375 0.250 0.625
70 As 0.375 0.625 0.750
71 As 0.500 0.000 0.000
72 As 0.500 0.000 0.500
73 As 0.500 0.500 0.000
74 As 0.500 0.500 0.500
75 As 0.625 0.375 0.250
76 As 0.625 0.750 0.375
77 As 0.750 0.375 0.625
78 As 0.750 0.875 0.125
79 As 0.875 0.125 0.750
80 As 0.875 0.250 0.125


[14]
A relaxed CdAgHgAs crystal, computed with GGA-PBE.

Computed properties:
The calculation puts the calculated formation energy at 3.5 kcal/mol of atoms. The total DFT energy (no corrections) comes out at -0.074 Ha/atom.

Lattice parameters (Å, degrees): 4.929 4.929 4.929 60.00 60.00 60.00
Fractional positions:
1 Cd 0.000 0.000 0.000
2 Ag 0.500 0.500 0.500
3 Hg 0.250 0.250 0.250
4 As 0.750 0.750 0.750


[15]
A relaxed KCdAgAs crystal, computed with GGA-PBE.

Computed properties:
The calculation puts the calculated formation energy at -3.2 kcal/mol of atoms. The total DFT energy (no corrections) comes out at -0.092 Ha/atom.

Lattice parameters (Å, degrees): 4.244 4.244 12.751 90.00 90.00 90.00
Fractional positions:
1 K 0.250 0.250 0.235
2 K 0.750 0.750 0.765
3 Cd 0.250 0.750 0.500
4 Cd 0.750 0.250 0.500
5 Ag 0.250 0.750 0.000
6 Ag 0.750 0.250 0.000
7 As 0.250 0.250 0.640
8 As 0.750 0.750 0.360


[16]
A relaxed Li2CdAgAs crystal, computed with GGA-PBE.

Computed properties:
The calculation puts the calculated formation energy at 8.3 kcal/mol of atoms. The total DFT energy (no corrections) comes out at -0.077 Ha/atom.

Lattice parameters (Å, degrees): 4.912 4.912 5.155 90.00 90.00 90.00
Fractional positions:
1 Li 0.000 0.500 0.000
2 Li 0.500 0.000 0.000
3 Cd 0.000 0.000 0.000
4 Ag 0.500 0.500 0.500
5 As 0.000 0.000 0.500


[17]
A relaxed LiCdAgAs crystal, computed with GGA-PBE.

Computed properties:
The calculation puts the calculated formation energy at -3.2 kcal/mol of atoms. The total DFT energy (no corrections) comes out at -0.100 Ha/atom.

Lattice parameters (Å, degrees): 4.731 4.731 4.731 60.00 60.00 60.00
Fractional positions:
1 Li 0.000 0.000 0.000
2 Cd 0.750 0.750 0.750
3 Ag 0.500 0.500 0.500
4 As 0.250 0.250 0.250


[18]
A relaxed MnCd2AgAs crystal, computed with GGA-PBE.

Computed properties:
The calculation puts the calculated formation energy at 9.4 kcal/mol of atoms. The total DFT energy (no corrections) comes out at -0.121 Ha/atom.

Lattice parameters (Å, degrees): 5.136 5.136 4.432 90.00 90.00 90.00
Fractional positions:
1 Mn 0.000 0.000 0.000
2 Cd 0.000 0.500 0.000
3 Cd 0.500 0.000 0.000
4 Ag 0.500 0.500 0.500
5 As 0.000 0.000 0.500


[19]
A relaxed CdAgMoAs2 crystal, computed with GGA-PBE.

Computed properties:
The calculation puts the calculated formation energy at 28.6 kcal/mol of atoms. The total DFT energy (no corrections) comes out at -0.130 Ha/atom.

Lattice parameters (Å, degrees): 4.899 4.899 5.319 90.00 90.00 90.00
Fractional positions:
1 Cd 0.000 0.000 0.000
2 Ag 0.500 0.500 0.500
3 Mo 0.500 0.500 0.000
4 As 0.000 0.500 0.500
5 As 0.500 0.000 0.500


[20]
A relaxed CdAgAs2O6 crystal, computed with GGA-PBE.

Computed properties:
For the uncorrected formation energy, the calculation gives -950 meV per atom. The total DFT energy (no corrections) comes out at -0.192 Ha/atom.

Lattice parameters (Å, degrees): 7.185 7.185 6.205 105.62 105.62 83.41
Fractional positions:
1 Cd 0.104 0.896 0.750
2 Cd 0.896 0.104 0.250
3 Ag 0.284 0.716 0.250
4 Ag 0.716 0.284 0.750
5 As 0.209 0.378 0.759
6 As 0.378 0.209 0.259
7 As 0.622 0.791 0.741
8 As 0.791 0.622 0.241
9 O 0.039 0.200 0.650
10 O 0.101 0.604 0.828
11 O 0.200 0.039 0.150
12 O 0.347 0.366 0.539
13 O 0.366 0.347 0.039
14 O 0.396 0.899 0.672
15 O 0.604 0.101 0.328
16 O 0.634 0.653 0.961
17 O 0.653 0.634 0.461
18 O 0.800 0.961 0.850
19 O 0.899 0.396 0.172
20 O 0.961 0.800 0.350